Entry from the Alexandria database: a relaxed structure of Tb3ErCd4 (PBE). Values from VASP.

density: 8.624 g/cm3
density of states at the Fermi level: 9.2 states/eV/f.u.
magnetic moment: 0.24 μB/f.u.
E_form: -0.319 eV per atom
E: -3.083 eV per atom

The structure in Quantum ESPRESSO input format:
```
&SYSTEM
  ibrav = 0, nat = 8, ntyp = 3
/
ATOMIC_SPECIES
Tb 158.93 Tb.upf
Er 167.26 Er.upf
Cd 112.41 Cd.upf
CELL_PARAMETERS angstrom
5.2777 0.0000 0.0000
0.0000 5.2777 0.0000
0.0000 0.0000 7.5605
ATOMIC_POSITIONS angstrom
Tb 0.0000 0.0000 0.0000
Tb 0.0000 0.0000 3.7802
Tb 2.6388 2.6388 0.0000
Er 2.6388 2.6388 3.7802
Cd 0.0000 2.6388 1.9115
Cd 0.0000 2.6388 5.6490
Cd 2.6388 0.0000 1.9115
Cd 2.6388 0.0000 5.6490
```

---

Entry from the Alexandria database: a relaxed structure of TbEr2Cd5 (PBE). Values from VASP.

density: 8.966 g/cm3
density of states at the Fermi level: 3.2 states/eV/f.u.
magnetic moment: 0.00 μB/f.u.
E_form: -0.299 eV per atom
E: -2.591 eV per atom

The structure in Quantum ESPRESSO input format:
```
&SYSTEM
  ibrav = 0, nat = 8, ntyp = 3
/
ATOMIC_SPECIES
Tb 158.93 Tb.upf
Er 167.26 Er.upf
Cd 112.41 Cd.upf
CELL_PARAMETERS angstrom
-2.5597 2.5597 7.4591
2.5597 -2.5597 7.4591
2.5597 2.5597 -7.4591
ATOMIC_POSITIONS angstrom
Tb 0.0000 0.0000 0.0000
Er 0.0000 0.0000 3.8847
Er 0.0000 0.0000 11.0336
Cd 2.5597 0.0000 1.8142
Cd 2.5597 0.0000 5.6449
Cd 0.0000 0.0000 7.4591
Cd 0.0000 2.5597 1.8142
Cd 0.0000 2.5597 5.6449
```

---

Q: E_form of number 2 (TbEr2Cd5)?
A: -0.299 eV per atom